[1]
A plane-wave DFT calculation with PBE was carried out for a relaxed structure of ZnRu.

Results
- DFT formation energy (eV/f.u.) = 0.1
- magnetic moment (μB per atom) = 0.00
- space group = Pnma

Cell lengths 4.6309, 4.4392, 5.4342 Å; angles 90.00, 90.00, 90.00 degrees
Element x y z (fractional)
Zn (0.0764, 0.2500, 0.1248)
Zn (0.4236, 0.7500, 0.6248)
Zn (0.5764, 0.2500, 0.3752)
Zn (0.9236, 0.7500, 0.8752)
Ru (0.0616, 0.2500, 0.6239)
Ru (0.4384, 0.7500, 0.1239)
Ru (0.5616, 0.2500, 0.8761)
Ru (0.9384, 0.7500, 0.3761)



[2]
A plane-wave DFT calculation with PBE was carried out for a relaxed structure of Zn2Ru.

Results
- DFT formation energy (eV/f.u.) = 0.0
- magnetic moment (μB per atom) = 0.00
- space group = P-3m1

Cell lengths 4.2445, 4.2445, 2.6767 Å; angles 90.00, 90.00, 120.00 degrees
Element x y z (fractional)
Zn (0.3333, 0.6667, 0.4939)
Zn (0.6667, 0.3333, 0.5061)
Ru (0.0000, 0.0000, 0.0000)



[3]
A plane-wave DFT calculation with PBE was carried out for a relaxed structure of Zn2Ru.

Results
- DFT formation energy (eV/f.u.) = -0.1
- magnetic moment (μB per atom) = 0.13
- space group = I4_1/amd

Cell lengths 11.9307, 11.9307, 11.9307 Å; angles 161.66, 161.66, 26.05 degrees
Element x y z (fractional)
Zn (0.1255, 0.3755, 0.7500)
Zn (0.2879, 0.5379, 0.7500)
Zn (0.3755, 0.1255, 0.2500)
Zn (0.4621, 0.7121, 0.7500)
Zn (0.5379, 0.2879, 0.2500)
Zn (0.6245, 0.8745, 0.7500)
Zn (0.7121, 0.4621, 0.2500)
Zn (0.8745, 0.6245, 0.2500)
Ru (0.0475, 0.7975, 0.2500)
Ru (0.2025, 0.9525, 0.2500)
Ru (0.7975, 0.0475, 0.7500)
Ru (0.9525, 0.2025, 0.7500)



[4]
A plane-wave DFT calculation with PBE was carried out for a relaxed structure of Zn3Ru.

Results
- DFT formation energy (eV/f.u.) = 0.4
- magnetic moment (μB per atom) = 0.18
- space group = Cmmm

Cell lengths 2.7373, 2.7373, 8.8266 Å; angles 90.00, 90.00, 117.37 degrees
Element x y z (fractional)
Zn (0.0000, 0.0000, 0.0000)
Zn (0.5000, 0.5000, 0.2561)
Zn (0.5000, 0.5000, 0.7439)
Ru (0.0000, 0.0000, 0.5000)



[5]
A plane-wave DFT calculation with PBE was carried out for a relaxed structure of Zn22Ru.

Results
- DFT formation energy (eV/f.u.) = 1.4
- magnetic moment (μB per atom) = 0.00
- space group = Fd-3m

Cell lengths 9.8919, 9.8919, 9.8919 Å; angles 60.00, 60.00, 60.00 degrees
Element x y z (fractional)
Zn (0.0000, 0.0000, 0.0000)
Zn (0.0000, 0.0000, 0.5000)
Zn (0.0000, 0.5000, 0.0000)
Zn (0.0000, 0.5000, 0.5000)
Zn (0.0161, 0.0161, 0.7339)
Zn (0.0161, 0.7339, 0.0161)
Zn (0.0161, 0.7339, 0.7339)
Zn (0.1820, 0.1820, 0.4415)
Zn (0.1820, 0.1820, 0.6946)
Zn (0.1820, 0.4415, 0.1820)
Zn (0.1820, 0.4415, 0.6946)
Zn (0.1820, 0.6946, 0.1820)
Zn (0.1820, 0.6946, 0.4415)
Zn (0.2661, 0.2661, 0.9839)
Zn (0.2661, 0.9839, 0.2661)
Zn (0.2661, 0.9839, 0.9839)
Zn (0.3054, 0.5585, 0.8180)
Zn (0.3054, 0.8180, 0.5585)
Zn (0.3054, 0.8180, 0.8180)
Zn (0.4415, 0.1820, 0.1820)
Zn (0.4415, 0.1820, 0.6946)
Zn (0.4415, 0.6946, 0.1820)
Zn (0.5000, 0.0000, 0.0000)
Zn (0.5000, 0.0000, 0.5000)
Zn (0.5000, 0.5000, 0.0000)
Zn (0.5000, 0.5000, 0.5000)
Zn (0.5585, 0.3054, 0.8180)
Zn (0.5585, 0.8180, 0.3054)
Zn (0.5585, 0.8180, 0.8180)
Zn (0.6946, 0.1820, 0.1820)
Zn (0.6946, 0.1820, 0.4415)
Zn (0.6946, 0.4415, 0.1820)
Zn (0.7339, 0.0161, 0.0161)
Zn (0.7339, 0.0161, 0.7339)
Zn (0.7339, 0.7339, 0.0161)
Zn (0.8180, 0.3054, 0.5585)
Zn (0.8180, 0.3054, 0.8180)
Zn (0.8180, 0.5585, 0.3054)
Zn (0.8180, 0.5585, 0.8180)
Zn (0.8180, 0.8180, 0.3054)
Zn (0.8180, 0.8180, 0.5585)
Zn (0.9839, 0.2661, 0.2661)
Zn (0.9839, 0.2661, 0.9839)
Zn (0.9839, 0.9839, 0.2661)
Ru (0.3750, 0.3750, 0.3750)
Ru (0.6250, 0.6250, 0.6250)



[6]
A plane-wave DFT calculation with PBE was carried out for a relaxed structure of Zn5Ru3.

Results
- energy relative to the lowest polymorph listed for this composition (eV per formula unit) = 1.17
- DFT formation energy (eV/f.u.) = 1.2
- magnetic moment (μB per atom) = 0.00
- space group = C2/m

Cell lengths 7.3608, 7.3608, 7.3533 Å; angles 95.94, 95.94, 142.27 degrees
Element x y z (fractional)
Zn (0.0674, 0.7407, 0.8065)
Zn (0.2400, 0.4339, 0.6729)
Zn (0.2492, 0.2492, 0.9987)
Zn (0.2593, 0.9326, 0.1935)
Zn (0.4339, 0.2400, 0.6729)
Zn (0.5661, 0.7600, 0.3271)
Zn (0.7407, 0.0674, 0.8065)
Zn (0.7508, 0.7508, 0.0013)
Zn (0.7600, 0.5661, 0.3271)
Zn (0.9326, 0.2593, 0.1935)
Ru (0.1808, 0.1808, 0.3636)
Ru (0.2500, 0.7500, 0.5000)
Ru (0.3180, 0.6820, 0.0000)
Ru (0.6820, 0.3180, 0.0000)
Ru (0.7500, 0.2500, 0.5000)
Ru (0.8192, 0.8192, 0.6364)



[7]
A plane-wave DFT calculation with PBE was carried out for a relaxed structure of ZnRu.

Results
- DFT formation energy (eV/f.u.) = 1.2
- magnetic moment (μB per atom) = 0.54
- space group = P4_2/mnm

Cell lengths 4.9814, 4.9814, 5.0416 Å; angles 90.00, 90.00, 90.00 degrees
Element x y z (fractional)
Zn (0.1881, 0.1881, 0.0000)
Zn (0.3119, 0.6881, 0.5000)
Zn (0.6881, 0.3119, 0.5000)
Zn (0.8119, 0.8119, 0.0000)
Ru (0.1854, 0.1854, 0.5000)
Ru (0.3146, 0.6854, 0.0000)
Ru (0.6854, 0.3146, 0.0000)
Ru (0.8146, 0.8146, 0.5000)



[8]
A plane-wave DFT calculation with PBE was carried out for a relaxed structure of ZnRu.

Results
- DFT formation energy (eV/f.u.) = 0.1
- magnetic moment (μB per atom) = 0.00
- space group = I4/mmm

Cell lengths 8.3212, 8.3212, 8.3212 Å; angles 160.94, 160.94, 27.08 degrees
Element x y z (fractional)
Zn (0.0807, 0.0807, 0.0000)
Zn (0.9193, 0.9193, 0.0000)
Ru (0.3025, 0.3025, 0.0000)
Ru (0.6975, 0.6975, 0.0000)